[1]
{
  "formula": "Pr3Sm7Ho2",
  "functional": "GGA-PBE",
  "state": "relaxed",
  "sg": "R-3m, No. 166",
  "e_form_ev_per_atom": 0.275,
  "de_polymorph_ev_per_atom": 0.189,
  "energy_ev_per_atom": -4.44,
  "crystal_system": "trigonal",
  "cell": [[6.4527, 0.0000, 1.4189], [3.0703, 5.6754, 1.4189], [0.7434, 0.4430, 12.0015]],
  "species": ["Pr", "Pr", "Pr", "Sm", "Sm", "Sm", "Sm", "Sm", "Sm", "Sm", "Ho", "Ho"],
  "fractional_positions": [[0.0000, 0.0000, 0.0000], [0.1541, 0.1541, 0.5376], [0.8459, 0.8459, 0.4624], [0.5000, 0.5000, 0.5000], [0.0810, 0.5847, 0.7497], [0.5847, 0.5847, 0.7497], [0.5847, 0.0810, 0.7497], [0.9190, 0.4153, 0.2503], [0.4153, 0.9190, 0.2503], [0.4153, 0.4153, 0.2503], [0.3336, 0.3336, 0.9992], [0.6664, 0.6664, 0.0008]]
}

[2]
{
  "formula": "PrSm4Ho3",
  "functional": "GGA-PBE",
  "state": "relaxed",
  "sg": "Pmn2_1, No. 31",
  "e_form_ev_per_atom": 0.025,
  "de_polymorph_ev_per_atom": 0.000,
  "energy_ev_per_atom": -4.65,
  "crystal_system": "orthorhombic",
  "cell": [[6.3251, 0.0000, 0.0000], [0.0000, 7.3269, 0.0000], [0.0000, 0.0000, 11.5339]],
  "species": ["Pr", "Pr", "Sm", "Sm", "Sm", "Sm", "Sm", "Sm", "Sm", "Sm", "Ho", "Ho", "Ho", "Ho", "Ho", "Ho"],
  "fractional_positions": [[0.1472, 0.3748, 0.0000], [0.6472, 0.6252, 0.5000], [0.1450, 0.8725, 0.0000], [0.6508, 0.1265, 0.0000], [0.9815, 0.1254, 0.2532], [0.4815, 0.8746, 0.2468], [0.1508, 0.8735, 0.5000], [0.6450, 0.1275, 0.5000], [0.4815, 0.8746, 0.7532], [0.9815, 0.1254, 0.7468], [0.6476, 0.6232, 0.0000], [0.9809, 0.6234, 0.2502], [0.4809, 0.3766, 0.2498], [0.1476, 0.3768, 0.5000], [0.4809, 0.3766, 0.7502], [0.9809, 0.6234, 0.7498]]
}

[3]
{
  "formula": "Pr2SmHo8",
  "functional": "GGA-PBE",
  "state": "relaxed",
  "sg": "C2/m, No. 12",
  "e_form_ev_per_atom": 0.173,
  "de_polymorph_ev_per_atom": 0.008,
  "energy_ev_per_atom": -4.45,
  "crystal_system": "monoclinic",
  "cell": [[-2.7904, 5.9566, 0.7861], [-5.8306, -2.4472, -2.1544], [0.6206, -4.4152, 7.7465]],
  "species": ["Pr", "Pr", "Sm", "Ho", "Ho", "Ho", "Ho", "Ho", "Ho", "Ho", "Ho"],
  "fractional_positions": [[0.7547, 0.6908, 0.5095], [0.2453, 0.3092, 0.4905], [0.0000, 0.0000, 0.0000], [0.8256, 0.4030, 0.1739], [0.6517, 0.5970, 0.8261], [0.7991, 0.1986, 0.5982], [0.2009, 0.8014, 0.4018], [0.3483, 0.4030, 0.1739], [0.1744, 0.5970, 0.8261], [0.5883, 0.9060, 0.1766], [0.4117, 0.0940, 0.8234]]
}

[4]
{
  "formula": "Pr4SmHo6",
  "functional": "GGA-PBE",
  "state": "relaxed",
  "sg": "I-42m, No. 121",
  "e_form_ev_per_atom": 0.299,
  "de_polymorph_ev_per_atom": 0.000,
  "energy_ev_per_atom": -4.36,
  "crystal_system": "tetragonal",
  "cell": [[7.5064, -2.8769, -5.4680], [-5.1727, 8.0245, 1.8362], [-1.8545, 2.8769, 9.0998]],
  "species": ["Pr", "Pr", "Pr", "Pr", "Sm", "Ho", "Ho", "Ho", "Ho", "Ho", "Ho"],
  "fractional_positions": [[0.0000, 0.6334, 0.0149], [0.3815, 0.3666, 0.3666], [0.0000, 0.0149, 0.6334], [0.6185, 0.9851, 0.9851], [0.0000, 0.0000, 0.0000], [0.0000, 0.7996, 0.4454], [0.0000, 0.4454, 0.7996], [0.3542, 0.5546, 0.5546], [0.5000, 0.5000, 0.0000], [0.6458, 0.2004, 0.2004], [0.5000, 0.0000, 0.5000]]
}

[5]
{
  "formula": "Pr4Sm3Ho4",
  "functional": "GGA-PBE",
  "state": "relaxed",
  "sg": "Immm, No. 71",
  "e_form_ev_per_atom": 0.018,
  "de_polymorph_ev_per_atom": 0.000,
  "energy_ev_per_atom": -4.67,
  "crystal_system": "orthorhombic",
  "cell": [[3.6143, -0.0043, -0.3083], [-0.0517, 5.0699, -0.6346], [-0.1081, -0.0462, 20.1670]],
  "species": ["Pr", "Pr", "Pr", "Pr", "Sm", "Sm", "Sm", "Ho", "Ho", "Ho", "Ho"],
  "fractional_positions": [[0.5464, 0.5459, 0.0923], [0.4536, 0.4542, 0.9077], [0.8174, 0.8176, 0.6346], [0.1826, 0.1824, 0.3654], [0.6365, 0.6362, 0.2730], [0.3635, 0.3639, 0.7270], [0.0000, 0.0000, 0.0000], [0.0918, 0.0913, 0.1835], [0.2720, 0.2721, 0.5440], [0.7279, 0.7279, 0.4560], [0.9082, 0.9087, 0.8165]]
}

[6]
{
  "formula": "Pr2SmHo",
  "functional": "GGA-PBE",
  "state": "relaxed",
  "sg": "Amm2, No. 38",
  "e_form_ev_per_atom": 0.058,
  "de_polymorph_ev_per_atom": 0.046,
  "energy_ev_per_atom": -4.66,
  "crystal_system": "orthorhombic",
  "cell": [[3.5881, 0.0000, 0.0000], [0.0000, 5.6916, 0.0000], [-1.7940, 0.0000, 6.7286]],
  "species": ["Pr", "Pr", "Sm", "Ho"],
  "fractional_positions": [[0.0632, 0.5000, 0.1264], [0.1889, 0.0000, 0.3778], [0.4431, 0.0000, 0.8862], [0.8048, 0.5000, 0.6096]]
}